Material: GaAgAu3
Method: DFT, PBE-GGA
State: relaxed

The value obtained for the energy above the most stable polymorph in this dataset is 19 meV/atom. Its energy of formation from the pure elements is -55 meV per atom. Its space group is No. 31.

abc: 5.873 6.895 4.803
angles: 90.00 90.00 90.00
Fractional positions:
Ga: 0.000 0.021 0.000
Ga: 0.500 0.979 0.500
Ag: 0.000 0.641 0.689
Ag: 0.500 0.359 0.189
Au: 0.000 0.374 0.197
Au: 0.247 0.256 0.689
Au: 0.253 0.744 0.189
Au: 0.500 0.626 0.697
Au: 0.747 0.744 0.189
Au: 0.753 0.256 0.689


Material: La5Mg3P
Method: DFT, PBE-GGA
State: relaxed

Its energy of formation from the pure elements is -326 meV per atom. Its space group is No. 193.

abc: 10.031 10.031 6.704
angles: 90.00 90.00 120.00
Fractional positions:
La: 0.000 0.236 0.250
La: 0.000 0.764 0.750
La: 0.236 0.000 0.250
La: 0.236 0.236 0.750
La: 0.333 0.667 0.000
La: 0.333 0.667 0.500
La: 0.667 0.333 0.000
La: 0.667 0.333 0.500
La: 0.764 0.000 0.750
La: 0.764 0.764 0.250
Mg: 0.000 0.407 0.750
Mg: 0.000 0.593 0.250
Mg: 0.407 0.000 0.750
Mg: 0.407 0.407 0.250
Mg: 0.593 0.000 0.250
Mg: 0.593 0.593 0.750
P: 0.000 0.000 0.000
P: 0.000 0.000 0.500


Material: Cs3Sn2I5Cl2
Method: DFT, PBE-GGA
State: relaxed

The uncorrected formation energy comes out at -112 kJ/mol of atoms. Its space group is No. 139.

abc: 15.547 15.547 15.547
angles: 156.57 156.57 33.38
Fractional positions:
Cs: 0.000 0.000 0.000
Cs: 0.186 0.186 0.000
Cs: 0.814 0.814 0.000
Sn: 0.390 0.390 0.000
Sn: 0.610 0.610 0.000
I: 0.105 0.605 0.500
I: 0.395 0.895 0.500
I: 0.500 0.500 0.000
I: 0.605 0.105 0.500
I: 0.895 0.395 0.500
Cl: 0.300 0.300 0.000
Cl: 0.700 0.700 0.000


Material: AlPbCl2
Method: DFT, PBE-GGA
State: relaxed

The value obtained for the energy above the most stable polymorph in this dataset is 98 meV/atom. The uncorrected formation energy comes out at -48 kJ/mol of atoms. Its space group is No. 166.

abc: 9.767 9.767 9.767
angles: 20.19 20.19 20.19
Fractional positions:
Al: 0.000 0.000 0.000
Pb: 0.500 0.500 0.500
Cl: 0.080 0.080 0.080
Cl: 0.920 0.920 0.920


Material: CaMgCd14
Method: DFT, PBE-GGA
State: relaxed

Its energy of formation from the pure elements is -72 meV per atom. Its space group is No. 123.

abc: 6.484 6.484 8.786
angles: 90.00 90.00 90.00
Fractional positions:
Ca: 0.000 0.000 0.000
Mg: 0.500 0.500 0.000
Cd: 0.000 0.000 0.500
Cd: 0.000 0.500 0.000
Cd: 0.000 0.500 0.500
Cd: 0.253 0.253 0.255
Cd: 0.253 0.253 0.745
Cd: 0.253 0.747 0.255
Cd: 0.253 0.747 0.745
Cd: 0.500 0.000 0.000
Cd: 0.500 0.000 0.500
Cd: 0.500 0.500 0.500
Cd: 0.747 0.253 0.255
Cd: 0.747 0.253 0.745
Cd: 0.747 0.747 0.255
Cd: 0.747 0.747 0.745


Material: YMn2Br
Method: DFT, PBE-GGA
State: relaxed

The value obtained for the energy above the most stable polymorph in this dataset is 273 meV/atom. The uncorrected formation energy comes out at 17 kJ/mol of atoms. Its space group is No. 12.

abc: 5.984 5.984 4.905
angles: 113.91 113.91 31.82
Fractional positions:
Y: 0.000 0.000 0.000
Mn: 0.246 0.246 0.746
Mn: 0.754 0.754 0.254
Br: 0.500 0.500 0.500


Material: VIn3As
Method: DFT, PBE-GGA
State: relaxed

The value obtained for the energy above the most stable polymorph in this dataset is 154 meV/atom. Its energy of formation from the pure elements is 901 meV per atom. Its space group is No. 221.

abc: 5.307 5.307 5.307
angles: 90.00 90.00 90.00
Fractional positions:
V: 0.000 0.000 0.000
In: 0.000 0.500 0.500
In: 0.500 0.000 0.500
In: 0.500 0.500 0.000
As: 0.500 0.500 0.500


Material: HgSb2Pb2
Method: DFT, PBE-GGA
State: relaxed

The value obtained for the energy above the most stable polymorph in this dataset is 27 meV/atom. The uncorrected formation energy comes out at 9 kJ/mol of atoms. Its space group is No. 127.

abc: 8.800 8.800 4.103
angles: 90.00 90.00 90.00
Fractional positions:
Hg: 0.000 0.000 0.000
Hg: 0.500 0.500 0.000
Sb: 0.126 0.374 0.000
Sb: 0.374 0.874 0.000
Sb: 0.626 0.126 0.000
Sb: 0.874 0.626 0.000
Pb: 0.159 0.659 0.500
Pb: 0.341 0.159 0.500
Pb: 0.659 0.841 0.500
Pb: 0.841 0.341 0.500


Material: BaCrPt
Method: DFT, PBE-GGA
State: relaxed

The value obtained for the energy above the most stable polymorph in this dataset is 230 meV/atom. Its energy of formation from the pure elements is 69 meV per atom. Its space group is No. 8.

abc: 5.727 5.727 5.717
angles: 119.87 119.87 66.60
Fractional positions:
Ba: 0.000 0.000 0.000
Ba: 0.238 0.238 0.738
Cr: 0.580 0.580 0.738
Cr: 0.581 0.581 0.419
Pt: 0.052 0.628 0.340
Pt: 0.628 0.052 0.340


Material: WBr3Cl2
Method: DFT, PBE-GGA
State: relaxed

The uncorrected formation energy comes out at -56 kJ/mol of atoms. Its space group is No. 15.

abc: 7.116 7.116 10.800
angles: 103.31 103.31 62.46
Fractional positions:
W: 0.199 0.801 0.750
W: 0.801 0.199 0.250
Br: 0.031 0.625 0.832
Br: 0.125 0.875 0.250
Br: 0.375 0.969 0.668
Br: 0.625 0.031 0.332
Br: 0.875 0.125 0.750
Br: 0.969 0.375 0.168
Cl: 0.250 0.554 0.573
Cl: 0.446 0.750 0.927
Cl: 0.554 0.250 0.073
Cl: 0.750 0.446 0.427


Material: KReHgSe2
Method: DFT, PBE-GGA
State: relaxed

The uncorrected formation energy comes out at 165 kJ/mol of atoms. Its space group is No. 123.

abc: 5.834 5.834 5.736
angles: 90.00 90.00 90.00
Fractional positions:
K: 0.000 0.000 0.000
Re: 0.500 0.500 0.500
Hg: 0.000 0.000 0.500
Se: 0.000 0.500 0.000
Se: 0.500 0.000 0.000


Material: ZrTcC
Method: DFT, PBE-GGA
State: relaxed

Its energy of formation from the pure elements is -161 meV per atom. Its space group is No. 11.

abc: 6.836 3.156 11.116
angles: 90.00 92.00 90.00
Fractional positions:
Zr: 0.013 0.250 0.205
Zr: 0.352 0.750 0.590
Zr: 0.462 0.750 0.868
Zr: 0.538 0.250 0.132
Zr: 0.648 0.250 0.410
Zr: 0.987 0.750 0.795
Tc: 0.012 0.250 0.590
Tc: 0.185 0.250 0.980
Tc: 0.328 0.750 0.307
Tc: 0.672 0.250 0.693
Tc: 0.815 0.750 0.020
Tc: 0.988 0.750 0.410
C: 0.243 0.250 0.750
C: 0.253 0.750 0.111
C: 0.271 0.250 0.432
C: 0.729 0.750 0.568
C: 0.747 0.250 0.889
C: 0.757 0.750 0.250


Material: Re3SiOs
Method: DFT, PBE-GGA
State: relaxed

The value obtained for the energy above the most stable polymorph in this dataset is 963 meV/atom. The uncorrected formation energy comes out at 229 kJ/mol of atoms. Its space group is No. 221.

abc: 4.718 4.718 4.718
angles: 90.00 90.00 90.00
Fractional positions:
Re: 0.000 0.000 0.500
Re: 0.000 0.500 0.000
Re: 0.500 0.000 0.000
Si: 0.500 0.500 0.500
Os: 0.000 0.000 0.000


Material: LaFe2Sb
Method: DFT, PBE-GGA
State: relaxed

The uncorrected formation energy comes out at 24 kJ/mol of atoms. Its space group is No. 119.

abc: 5.158 5.158 5.158
angles: 127.53 127.53 77.39
Fractional positions:
La: 0.000 0.000 0.000
Fe: 0.500 0.500 0.000
Fe: 0.750 0.250 0.500
Sb: 0.250 0.750 0.500


Material: Y2ReNi
Method: DFT, PBE-GGA
State: relaxed

Its energy of formation from the pure elements is 80 meV per atom. Its space group is No. 123.

abc: 4.861 4.861 3.418
angles: 90.00 90.00 90.00
Fractional positions:
Y: 0.000 0.500 0.000
Y: 0.500 0.000 0.000
Re: 0.000 0.000 0.500
Ni: 0.500 0.500 0.500


Material: RbTl2Sb2
Method: DFT, PBE-GGA
State: relaxed

The value obtained for the energy above the most stable polymorph in this dataset is 55 meV/atom. The uncorrected formation energy comes out at -12 kJ/mol of atoms. Its space group is No. 127.

abc: 9.362 9.362 4.348
angles: 90.00 90.00 90.00
Fractional positions:
Rb: 0.000 0.000 0.000
Rb: 0.500 0.500 0.000
Tl: 0.155 0.345 0.500
Tl: 0.345 0.845 0.500
Tl: 0.655 0.155 0.500
Tl: 0.845 0.655 0.500
Sb: 0.108 0.608 0.000
Sb: 0.392 0.108 0.000
Sb: 0.608 0.892 0.000
Sb: 0.892 0.392 0.000


Material: PuWC
Method: DFT, PBE-GGA
State: relaxed

The value obtained for the energy above the most stable polymorph in this dataset is 280 meV/atom. Its energy of formation from the pure elements is 461 meV per atom. Its space group is No. 187.

abc: 3.660 3.660 4.226
angles: 90.00 90.00 120.00
Fractional positions:
Pu: 0.000 0.000 0.000
W: 0.333 0.667 0.500
C: 0.667 0.333 0.500


Material: CoP2W
Method: DFT, PBE-GGA
State: relaxed

Its energy of formation from the pure elements is -179 meV per atom. Its space group is No. 8.

abc: 4.403 4.403 4.183
angles: 103.86 103.86 40.87
Fractional positions:
Co: 0.000 0.000 0.000
P: 0.267 0.267 0.918
P: 0.508 0.508 0.568
W: 0.771 0.771 0.416


Material: Hf2TlCr2
Method: DFT, PBE-GGA
State: relaxed

The value obtained for the energy above the most stable polymorph in this dataset is 189 meV/atom. Its energy of formation from the pure elements is 372 meV per atom. Its space group is No. 139.

abc: 9.203 9.203 9.203
angles: 159.45 159.45 29.23
Fractional positions:
Hf: 0.123 0.123 0.000
Hf: 0.877 0.877 0.000
Tl: 0.500 0.500 0.000
Cr: 0.250 0.750 0.500
Cr: 0.750 0.250 0.500


Material: HfSb2Au
Method: DFT, PBE-GGA
State: relaxed

The uncorrected formation energy comes out at -11 kJ/mol of atoms. Its space group is No. 166.

abc: 9.841 9.841 9.841
angles: 20.05 20.05 20.05
Fractional positions:
Hf: 0.000 0.000 0.000
Sb: 0.409 0.409 0.409
Sb: 0.591 0.591 0.591
Au: 0.500 0.500 0.500


Material: Sc4GeSe2S
Method: DFT, PBE-GGA
State: relaxed

The uncorrected formation energy comes out at -147 kJ/mol of atoms. Its space group is No. 10.

abc: 6.627 3.828 6.711
angles: 90.00 109.35 90.00
Fractional positions:
Sc: 0.242 0.000 0.229
Sc: 0.255 0.500 0.765
Sc: 0.745 0.500 0.235
Sc: 0.758 0.000 0.771
Ge: 0.500 0.000 0.000
Se: 0.000 0.000 0.500
Se: 0.500 0.500 0.500
S: 0.000 0.500 0.000


Material: Y8Hg2Ru
Method: DFT, PBE-GGA
State: relaxed

Its energy of formation from the pure elements is -283 meV per atom. Its space group is No. 12.

abc: 9.232 9.232 6.897
angles: 107.67 107.67 33.20
Fractional positions:
Y: 0.024 0.024 0.289
Y: 0.198 0.198 0.801
Y: 0.346 0.346 0.541
Y: 0.411 0.411 0.072
Y: 0.589 0.589 0.928
Y: 0.654 0.654 0.459
Y: 0.802 0.802 0.199
Y: 0.976 0.976 0.711
Hg: 0.184 0.184 0.217
Hg: 0.816 0.816 0.783
Ru: 0.500 0.500 0.500


Material: LiMgSc2N
Method: DFT, PBE-GGA
State: relaxed

The value obtained for the energy above the most stable polymorph in this dataset is 0 meV/atom. The uncorrected formation energy comes out at -58 kJ/mol of atoms. Its space group is No. 123.

abc: 4.383 4.383 4.613
angles: 90.00 90.00 90.00
Fractional positions:
Li: 0.000 0.000 0.000
Mg: 0.500 0.500 0.000
Sc: 0.000 0.500 0.500
Sc: 0.500 0.000 0.500
N: 0.000 0.000 0.500


Material: Cs2NaSe
Method: DFT, PBE-GGA
State: relaxed

The value obtained for the energy above the most stable polymorph in this dataset is 115 meV/atom. The uncorrected formation energy comes out at -56 kJ/mol of atoms. Its space group is No. 123.

abc: 4.368 4.368 11.541
angles: 90.00 90.00 90.00
Fractional positions:
Cs: 0.000 0.000 0.161
Cs: 0.000 0.000 0.839
Na: 0.500 0.500 0.500
Se: 0.500 0.500 0.000


Material: BaLaSc
Method: DFT, PBE-GGA
State: relaxed

The value obtained for the energy above the most stable polymorph in this dataset is 579 meV/atom. Its energy of formation from the pure elements is 757 meV per atom. Its space group is No. 216.

abc: 5.762 5.762 5.762
angles: 60.00 60.00 60.00
Fractional positions:
Ba: 0.000 0.000 0.000
La: 0.500 0.500 0.500
Sc: 0.750 0.750 0.750


| no. | E_tot (eV per atom) |
| --- | --- |
| 1 | -3.20 |
| 2 | -4.20 |
| 3 | -3.00 |
| 4 | -3.28 |
| 5 | -1.10 |
| 6 | -6.44 |
| 7 | -3.50 |
| 8 | -3.10 |
| 9 | -5.79 |
| 10 | -4.19 |
| 11 | -2.46 |
| 12 | -9.54 |
| 13 | -8.43 |
| 14 | -6.24 |
| 15 | -7.71 |
| 16 | -2.92 |
| 17 | -11.71 |
| 18 | -7.90 |
| 19 | -7.93 |
| 20 | -5.49 |
| 21 | -6.65 |
| 22 | -5.88 |
| 23 | -5.50 |
| 24 | -2.20 |
| 25 | -3.64 |